# PBE Y2ScGa9, optimized geometry
# Raw total energy = -4.398 eV per atom
data_Y2ScGa9
_cell_length_a 4.2333
_cell_length_b 4.2333
_cell_length_c 12.6646
_cell_angle_alpha 90.00
_cell_angle_beta 90.00
_cell_angle_gamma 90.00
_space_group_name_H-M_alt 'P 4/m m m'
_space_group_IT_number 123
_space_group_name_Hall '-P 4 2'
loop_
_atom_site_label
_atom_site_fract_x
_atom_site_fract_y
_atom_site_fract_z
_atom_site_occupancy
Y1 0.0000 0.0000 0.1709 1
Sc1 0.0000 0.0000 0.5000 1
Ga1 0.0000 0.5000 0.0000 1
Ga2 0.0000 0.5000 0.3413 1
Ga3 0.5000 0.5000 0.1674 1
Ga4 0.5000 0.5000 0.5000 1